[1]
## La5TmAs6 (PBE)

Data for La5TmAs6 after structural relaxation.

Results
The density of states at the Fermi level comes out at 0.57 states/eV/f.u. The energy of formation from the pure elements comes out at -149 kJ/mol of atoms. For the total magnetic moment, the calculation gives 0.0 μB per formula unit.

a = 7.497 Å, b = 12.982 Å, c = 7.494 Å
α = 90.00°, β = 109.50°, γ = 90.00°
Space group C2/m (No. 12)
One atom of each set of equivalent atoms:
La 0.000 0.000 0.000 x2
La 0.000 0.166 0.500 x4
La 0.000 0.332 0.000 x4
Tm 0.000 0.500 0.500 x2
As 0.242 0.500 0.255 x4
As 0.243 0.338 0.744 x8

[2]
## LaTmAs2 (PBE)

Data for LaTmAs2 after structural relaxation.

Results
The density of states at the Fermi level comes out at 0.46 states/eV/f.u. The energy of formation from the pure elements comes out at -147 kJ/mol of atoms. For the total magnetic moment, the calculation gives 0.0 μB per formula unit.

a = 4.2264 Å, b = 4.2264 Å, c = 20.6202 Å
α = 90.00°, β = 90.00°, γ = 120.00°
Space group R-3m (No. 166, hexagonal axes)
One atom of each set of equivalent atoms:
La 0.0000 0.0000 0.0000 x3
Tm 0.0000 0.0000 0.5000 x3
As 0.0000 0.0000 0.2443 x6

[3]
## LaTm2As (PBE)

Data for LaTm2As after structural relaxation.

Results
The density of states at the Fermi level comes out at 4.64 states/eV/f.u. The energy of formation from the pure elements comes out at -42 kJ/mol of atoms. For the total magnetic moment, the calculation gives 0.0 μB per formula unit.

a = 3.7443 Å, b = 3.7443 Å, c = 31.4946 Å
α = 90.00°, β = 90.00°, γ = 120.00°
Space group R-3m (No. 166, hexagonal axes)
One atom of each set of equivalent atoms:
La 0.0000 0.0000 0.0000 x3
Tm 0.0000 0.0000 0.1122 x6
As 0.0000 0.0000 0.5000 x3